The following is a DFT calculation (GGA-PBE) of Cd2TeRu after structural relaxation.

Calculated values
ΔE_f (raw) (eV per atom): 0.066
Excess energy over the best structure of this formula in the dataset (meV/atom): 20
Fermi-level density of states (states/eV/f.u.): 4.2
Total magnetic moment (μB/f.u.): 0.0
Calculated volume (Å³ per cell): 93

Unit cell a=6.975 b=6.975 c=6.975 alpha=153.80 beta=141.27 gamma=47.36
Fractional coordinates of all 4 atoms:
Ru: 0.488 0.488 0.000
Te: 0.325 0.825 0.500
Cd: 0.014 0.014 0.000
Cd: 0.674 0.174 0.500